30
Lattice="5.059 0.000 0.000 0.000 9.368 0.000 -2.052 0.000 9.053" Properties=species:S:1:pos:R:3 comment="PBEsol Sn2P3O10, optimized geometry" vol_a3_per_fu=214.5 formation_energy_uncorrected_ev_per_atom=-1.9103 m_tot_mub_per_fu=0.00 space_group="P2_1/m (11)" pbc="T T T"
Sn -0.483 0.401 3.126
Sn -0.483 4.283 3.126
Sn 3.490 5.085 5.927
Sn 3.490 8.967 5.927
P -0.451 2.342 7.739
P 1.904 2.342 1.679
P 1.655 7.026 3.699
P 1.351 2.342 5.354
P 1.103 7.026 7.373
P 3.458 7.026 1.314
O -1.215 1.056 7.532
O -1.215 3.628 7.532
O 0.099 2.342 4.438
O -0.297 7.026 6.706
O 1.126 1.057 1.947
O 1.126 3.627 1.947
O 0.884 5.746 3.907
O 0.884 8.306 3.907
O 2.278 2.342 0.120
O 0.888 2.342 6.894
O 2.119 7.026 2.159
O 0.729 7.026 8.933
O 2.123 1.062 5.146
O 2.123 3.622 5.146
O 1.881 5.741 7.105
O 1.881 8.311 7.105
O 3.303 2.342 2.346
O 2.908 7.026 4.615
O 4.222 5.740 1.521
O 4.222 8.312 1.521

52
Lattice="14.308 0.000 0.000 0.000 6.533 0.000 0.000 0.000 7.989" Properties=species:S:1:pos:R:3 comment="PBEsol Sn2P2O9, optimized geometry" vol_a3_per_fu=186.7 formation_energy_uncorrected_ev_per_atom=-1.9139 m_tot_mub_per_fu=0.00 space_group="Pnma (62)" pbc="T T T"
Sn 0.000 0.000 0.000
Sn 0.000 3.267 0.000
Sn 1.762 1.633 2.824
Sn 5.392 4.900 6.818
Sn 7.154 0.000 3.994
Sn 7.154 3.267 3.994
Sn 8.916 1.633 1.171
Sn 12.547 4.900 5.165
P 0.839 4.900 2.793
P 2.783 4.900 7.357
P 4.372 1.633 3.363
P 6.315 1.633 6.787
P 7.993 4.900 1.201
P 9.937 4.900 4.626
P 11.526 1.633 0.632
P 13.469 1.633 5.196
O 14.305 1.633 6.578
O 0.003 4.900 1.411
O 0.132 1.633 4.037
O 0.568 1.633 1.148
O 1.718 3.663 2.740
O 1.718 6.137 2.740
O 1.919 3.624 7.545
O 1.919 6.175 7.545
O 3.163 1.633 4.350
O 3.485 4.900 5.966
O 3.669 1.633 1.972
O 3.992 4.900 0.356
O 5.235 0.358 3.550
O 5.235 2.909 3.550
O 5.436 0.397 6.734
O 5.436 2.870 6.734
O 6.586 4.900 5.142
O 7.022 4.900 0.042
O 7.151 1.633 5.406
O 7.157 4.900 2.583
O 7.286 1.633 7.946
O 7.722 1.633 2.847
O 8.873 3.663 1.254
O 8.873 6.137 1.254
O 9.073 3.624 4.438
O 9.073 6.175 4.438
O 10.317 1.633 7.633
O 10.639 4.900 6.017
O 10.823 1.633 2.022
O 11.146 4.900 3.638
O 12.389 0.358 0.444
O 12.389 2.909 0.444
O 12.590 0.397 5.249
O 12.590 2.870 5.249
O 13.741 4.900 6.841
O 14.176 4.900 3.952

88
Lattice="6.897 0.000 0.000 0.000 6.897 0.000 0.000 0.000 25.842" Properties=species:S:1:pos:R:3 comment="PBEsol Sn2P2O7, optimized geometry" vol_a3_per_fu=153.6 e_above_lowest_polymorph_mev_per_atom=12.9 formation_energy_uncorrected_ev_per_atom=-1.8988 m_tot_mub_per_fu=0.00 space_group="P4_1 (76)" pbc="T T T"
Sn 0.238 1.753 0.000
Sn 1.061 2.812 16.136
Sn 1.260 4.880 22.953
Sn 1.753 6.659 19.381
Sn 2.017 1.260 3.572
Sn 2.305 4.165 6.202
Sn 2.732 2.305 12.662
Sn 2.812 5.836 9.676
Sn 4.085 1.061 22.597
Sn 4.165 4.592 25.583
Sn 4.592 2.732 19.122
Sn 4.880 5.636 16.493
Sn 5.143 0.238 6.460
Sn 5.636 2.017 10.033
Sn 5.836 4.085 3.216
Sn 6.659 5.143 12.921
P 0.740 1.693 21.988
P 0.808 5.153 0.563
P 1.169 3.489 19.681
P 1.693 6.156 15.528
P 1.743 0.808 7.023
P 2.163 2.599 9.358
P 2.599 4.733 2.897
P 3.408 1.169 0.300
P 3.489 5.728 13.220
P 4.298 2.163 15.818
P 4.733 4.298 22.279
P 5.153 6.089 19.944
P 5.204 0.740 2.607
P 5.728 3.408 6.760
P 6.089 1.743 13.484
P 6.156 5.204 9.067
O 0.196 6.419 0.010
O 0.205 3.880 18.596
O 0.286 2.545 20.682
O 0.292 2.714 13.974
O 0.477 0.196 6.470
O 0.520 5.792 9.658
O 0.594 5.194 15.015
O 1.105 0.520 16.119
O 1.190 2.942 10.460
O 1.319 1.654 8.337
O 1.529 2.665 22.884
O 1.627 4.693 20.555
O 1.654 5.578 1.877
O 1.702 0.594 21.476
O 1.776 4.409 25.462
O 1.784 3.538 3.414
O 2.203 1.627 1.174
O 2.353 2.636 19.199
O 2.487 1.776 6.081
O 2.545 6.611 14.222
O 2.610 3.816 8.508
O 2.636 4.544 12.738
O 2.665 5.367 16.424
O 2.714 6.605 7.514
O 2.942 5.707 4.000
O 3.016 0.205 25.056
O 3.081 2.610 14.968
O 3.358 1.784 9.874
O 3.538 5.113 22.795
O 3.816 4.286 2.048
O 3.880 6.691 12.135
O 3.955 1.190 16.921
O 4.182 0.292 20.435
O 4.231 1.529 3.503
O 4.260 2.353 25.659
O 4.286 3.081 21.429
O 4.351 0.286 1.301
O 4.409 5.120 19.002
O 4.544 4.260 6.278
O 4.693 5.269 14.095
O 5.113 3.358 16.335
O 5.120 2.487 12.541
O 5.194 6.302 8.555
O 5.243 1.319 14.797
O 5.269 2.203 7.634
O 5.367 4.231 9.963
O 5.578 5.243 21.258
O 5.707 3.955 23.381
O 5.792 6.377 3.198
O 6.302 1.702 2.095
O 6.377 1.105 22.579
O 6.419 6.700 19.391
O 6.605 4.182 1.053
O 6.611 4.351 7.761
O 6.691 3.016 5.675
O 6.700 0.477 12.931

21
Lattice="5.519 0.000 0.000 2.604 6.528 0.000 0.990 -0.292 8.925" Properties=species:S:1:pos:R:3 comment="PBEsol Sn3P4O14, optimized geometry" vol_a3_per_fu=321.5 e_above_lowest_polymorph_mev_per_atom=13.2 formation_energy_uncorrected_ev_per_atom=-1.9500 m_tot_mub_per_fu=0.00 space_group="P-1 (2)" pbc="T T T"
Sn 0.000 0.000 0.000
Sn 2.787 3.800 2.903
Sn 6.326 2.437 6.022
P 3.670 4.055 6.386
P 3.654 1.716 8.546
P 5.459 4.521 0.379
P 5.442 2.182 2.539
O 2.495 3.700 5.464
O 3.391 5.361 7.125
O 2.404 0.944 8.060
O 2.507 2.625 0.975
O 3.834 2.867 7.442
O 4.170 5.325 0.591
O 4.976 4.089 5.609
O 4.136 2.148 3.316
O 4.943 0.911 8.334
O 5.278 3.369 1.483
O 6.605 3.611 7.950
O 6.708 5.292 0.865
O 5.721 0.876 1.800
O 6.617 2.537 3.461

46
Lattice="5.200 -4.968 0.000 5.200 4.968 0.000 -1.856 0.000 13.963" Properties=species:S:1:pos:R:3 comment="PBEsol Sn8P2O13, optimized geometry" vol_a3_per_fu=360.7 formation_energy_uncorrected_ev_per_atom=-1.6086 m_tot_mub_per_fu=0.00 space_group="C2/m (12)" pbc="T T T"
Sn 0.348 0.000 2.761
Sn 2.895 2.245 2.848
Sn 3.212 2.392 8.360
Sn 2.654 0.000 0.114
Sn 2.510 0.000 5.663
Sn 5.332 2.392 5.602
Sn 2.784 0.000 11.046
Sn 5.649 2.245 11.115
Sn 2.895 -2.245 2.848
Sn 5.759 0.000 2.917
Sn 3.212 -2.392 8.360
Sn 6.033 0.000 8.299
Sn 5.889 0.000 13.848
Sn 5.332 -2.392 5.602
Sn 5.649 -2.245 11.115
Sn 8.195 0.000 11.202
P 0.437 0.000 8.388
P 5.200 2.440 0.000
P 5.200 -2.440 0.000
P 8.107 0.000 5.574
O 3.638 3.692 5.101
O 1.463 1.402 4.403
O 2.571 3.312 12.947
O 0.615 0.000 6.842
O 4.905 3.692 8.861
O 5.973 3.312 1.016
O 4.193 1.527 0.776
O 2.468 0.000 2.258
O 1.859 0.000 9.024
O 1.463 -1.402 4.403
O 4.569 1.466 3.864
O 3.975 1.466 10.098
O 4.350 1.527 13.187
O 4.193 -1.527 0.776
O 4.569 -1.466 3.864
O 3.975 -1.466 10.098
O 7.080 1.402 9.560
O 6.685 0.000 4.939
O 6.075 0.000 11.705
O 4.350 -1.527 13.187
O 2.571 -3.312 12.947
O 3.638 -3.692 5.101
O 7.928 0.000 7.121
O 5.973 -3.312 1.016
O 7.080 -1.402 9.560
O 4.905 -3.692 8.861

22
Lattice="5.203 0.000 0.000 0.000 9.709 0.000 -3.026 0.000 6.582" Properties=species:S:1:pos:R:3 comment="PBEsol Sn2P2O7, optimized geometry" vol_a3_per_fu=166.3 e_above_lowest_polymorph_mev_per_atom=0.0 formation_energy_uncorrected_ev_per_atom=-1.9117 m_tot_mub_per_fu=0.00 space_group="P2_1/c (14)" pbc="T T T"
Sn -0.336 1.157 2.497
Sn -1.849 3.697 5.788
Sn 4.027 6.011 0.794
Sn 2.514 8.552 4.085
P 0.139 5.918 3.995
P 1.651 8.645 0.704
P 0.526 1.063 5.878
P 2.039 3.791 2.587
O -0.972 6.273 3.021
O -2.484 8.290 6.312
O -0.377 5.256 5.288
O 1.136 9.307 1.996
O -0.334 2.250 5.457
O 1.179 2.604 2.166
O 2.602 0.000 0.000
O 1.089 4.854 3.291
O 0.999 7.105 4.416
O 2.512 7.459 1.125
O 1.042 0.402 4.586
O 2.555 4.452 1.295
O 4.662 1.419 0.270
O 3.149 3.436 3.561

Which formula does entry 3 have? Sn2P2O7